The following is a PBE calculation of Dy2AlGaGe after structural relaxation, from Alexandria via LeMat-Bulk.

The structure belongs to space group P2_1/m (No. 11); the cell edges are 7.2105, 4.2922 and 7.5155 Å and the angles 90.00°, 90.02° and 90.00°. Symmetry generates all atoms from Dy at (0.0023, 0.2500, 0.2254), Dy at (0.4977, 0.2500, 0.2259), Al at (0.2495, 0.2500, 0.5832), Ga at (0.2497, 0.7500, 0.4019) and Ge at (0.2502, 0.2500, 0.9147).

The calculation puts the formation energy at -0.602 eV per atom. Its crystal system is monoclinic.


The following is a PBE calculation of DyAlGaHg after structural relaxation, from Alexandria via LeMat-Bulk.

The structure belongs to space group F-43m (No. 216); the cell edges are 6.9940, 6.9940 and 6.9940 Å and the angles 90.00°, 90.00° and 90.00°. Symmetry generates all atoms from Dy at (0.0000, 0.0000, 0.0000), Al at (0.0000, 0.0000, 0.5000), Ga at (0.2500, 0.2500, 0.7500) and Hg at (0.2500, 0.2500, 0.2500).

The calculation puts the formation energy at -0.231 eV per atom. Its crystal system is cubic.


The following is a PBE calculation of Dy2Ho2AlGa4 after structural relaxation, from Alexandria via LeMat-Bulk.

The structure belongs to space group I4/mmm (No. 139); the cell edges are 6.9547, 6.9547 and 8.8280 Å and the angles 90.00°, 90.00° and 90.00°. Symmetry generates all atoms from Dy at (0.0000, 0.0000, 0.1877), Ho at (0.0000, 0.5000, 0.2500), Al at (0.0000, 0.0000, 0.5000) and Ga at (0.2492, 0.2492, 0.0000).

The calculation puts the formation energy at -0.237 eV per atom. Its crystal system is tetragonal.


Number 1: E -4.721 eV per atom, volume 233 Å³ per cell, total moment 0.000 μB/f.u.. Number 2: E -3.149 eV per atom, volume 342 Å³ per cell, total moment 0.000 μB/f.u.. Number 3: E -4.038 eV per atom, volume 427 Å³ per cell, total moment 0.000 μB/f.u..